(1)
5
Lattice="4.788 0.000 0.000 0.000 4.788 0.000 0.000 0.000 5.987" Properties=species:S:1:pos:R:3 comment="PBE BaTePbN2, relaxed" formation_energy_uncorrected_mev_per_atom=747 vol_a3_per_atom=27.5 e_above_lowest_polymorph_mev_per_atom=0 crystal_system=tetragonal pbc="T T T"
Ba 0.000 0.000 0.000
Te 2.394 2.394 0.000
Pb 2.394 2.394 2.994
N 0.000 2.394 2.994
N 2.394 0.000 2.994

(2)
4
Lattice="0.000 3.538 3.538 3.538 0.000 3.538 3.538 3.538 0.000" Properties=species:S:1:pos:R:3 comment="PBE TbThCuMo, relaxed" vol_a3_per_atom=22.1 ef_ev_per_atom=0.1054 crystal_system=cubic pbc="T T T"
Tb 0.000 0.000 0.000
Th 3.538 3.538 3.538
Cu 1.769 1.769 1.769
Mo 5.307 5.307 5.307

(3)
6
Lattice="5.941 -1.901 0.000 5.941 1.901 0.000 -2.475 0.000 7.279" Properties=species:S:1:pos:R:3 comment="PBE LiCaTl4, relaxed" vol_a3_per_atom=27.4 e_above_lowest_polymorph_mev_per_atom=0 ef_ev_per_atom=-0.1904 crystal_system=monoclinic pbc="T T T"
Li 0.000 0.000 0.000
Ca -1.237 0.000 3.639
Tl 2.260 0.000 5.001
Tl 3.692 0.000 1.096
Tl 5.715 0.000 6.182
Tl 7.147 0.000 2.278

(4)
3
Lattice="0.000 3.252 3.252 3.252 0.000 3.252 3.252 3.252 0.000" Properties=species:S:1:pos:R:3 comment="PBE LaBeOs, relaxed" vol_a3_per_atom=22.9 e_above_lowest_polymorph_mev_per_atom=1532 ef_ev_per_atom=1.3667 crystal_system=cubic pbc="T T T"
La 0.000 0.000 0.000
Be 4.878 4.878 4.878
Os 1.626 1.626 1.626

(5)
6
Lattice="4.167 0.000 0.000 0.008 5.600 0.000 2.082 1.777 5.510" Properties=species:S:1:pos:R:3 comment="PBE YAlZn, relaxed" vol_a3_per_atom=21.4 ef_ev_per_atom=-0.3252 crystal_system=triclinic pbc="T T T"
Y 0.000 0.000 0.000
Y 2.095 4.243 2.938
Al 4.170 1.170 3.180
Al 4.175 2.884 1.096
Zn 2.087 1.340 1.727
Zn 4.173 4.882 5.171

(6)
4
Lattice="1.921 -2.530 0.000 1.921 2.530 0.000 0.000 0.000 9.614" Properties=species:S:1:pos:R:3 comment="PBE ZrTaSe2, relaxed" formation_energy_uncorrected_mev_per_atom=-517 vol_a3_per_atom=23.4 e_above_lowest_polymorph_mev_per_atom=226 crystal_system=orthorhombic pbc="T T T"
Zr 0.000 0.000 0.000
Ta 1.921 0.000 7.324
Se 0.000 0.000 5.601
Se 1.921 0.000 1.827